Pa2TeS | PBE | relaxed

Results
Distance to the lowest polymorph of the same formula   0 meV per atom

a b c (Å): 7.3640 7.3640 7.3640
angles (deg): 31.85 31.85 31.85
With the nearest neighbours (Å) after each atom.
Element x y z (fractional)
1 Pa 0.2333 0.2333 0.2333  3 S 2.72
2 Pa 0.7667 0.7667 0.7667  3 S 2.72
3 Te 0.0000 0.0000 0.0000  6 Pa 3.14
4 S 0.5000 0.5000 0.5000  6 Pa 2.72

***

Pa2TeS2 | PBE | relaxed

Results
Distance to the lowest polymorph of the same formula   0 meV per atom

a b c (Å): 10.5360 10.5360 10.5360
angles (deg): 22.54 22.54 22.54
With the nearest neighbours (Å) after each atom.
Element x y z (fractional)
1 Pa 0.1040 0.1040 0.1040  3 S 2.73
2 Pa 0.8960 0.8960 0.8960  3 S 2.73
3 Te 0.5000 0.5000 0.5000  6 Pa 3.06
4 S 0.2728 0.2728 0.2728  3 Pa 2.73
5 S 0.7272 0.7272 0.7272  3 Pa 2.73

***

PaTeS2 | PBE | relaxed

Results
Distance to the lowest polymorph of the same formula   135 meV per atom

a b c (Å): 8.3620 8.3620 8.3620
angles (deg): 29.32 29.32 29.32
With the nearest neighbours (Å) after each atom.
Element x y z (fractional)
1 Pa 0.0000 0.0000 0.0000  6 S 2.64-2.77
2 Te 0.8684 0.8684 0.8684  1 Pa 3.16, 3 S 3.26
3 S 0.3876 0.3876 0.3876  3 Pa 2.77
4 S 0.6253 0.6253 0.6253  3 Pa 2.64

***

PaTeS2 | PBE | relaxed

Results
Distance to the lowest polymorph of the same formula   108 meV per atom

a b c (Å): 3.3895 3.3895 8.1715
angles (deg): 90.00 90.00 90.00
With the nearest neighbours (Å) after each atom.
Element x y z (fractional)
1 Pa 0.0000 0.0000 0.0000  8 S 2.81
2 Te 0.0000 0.0000 0.5000  4 Te 3.39, 8 S 3.55
3 S 0.5000 0.5000 0.1800  4 Pa 2.81, 1 S 2.94
4 S 0.5000 0.5000 0.8200  4 Pa 2.81, 1 S 2.94

***

PaTeS2 | PBE | relaxed

Results
Distance to the lowest polymorph of the same formula   0 meV per atom

a b c (Å): 4.2336 7.7890 6.1200
angles (deg): 90.00 110.16 90.00
With the nearest neighbours (Å) after each atom.
Element x y z (fractional)
1 Pa 0.2305 0.2500 0.4601  6 S 2.75
2 Pa 0.7695 0.7500 0.5399  6 S 2.75
3 Te 0.0566 0.7500 0.1128  3 Pa 3.24-3.29, 8 S 3.37-3.53
4 Te 0.9434 0.2500 0.8872  3 Pa 3.24-3.29, 8 S 3.37-3.53
5 S 0.3482 0.5568 0.6971  3 Pa 2.75, 1 S 3.01
6 S 0.3482 0.9432 0.6971  3 Pa 2.75, 1 S 3.01
7 S 0.6518 0.0568 0.3029  3 Pa 2.75, 1 S 3.01
8 S 0.6518 0.4432 0.3029  3 Pa 2.75, 1 S 3.01

***

Pa2TeS | PBE | relaxed

Results
Distance to the lowest polymorph of the same formula   54 meV per atom

a b c (Å): 7.7882 7.7882 7.7882
angles (deg): 29.17 29.17 29.17
With the nearest neighbours (Å) after each atom.
Element x y z (fractional)
1 Pa 0.0000 0.0000 0.0000  3 S 2.72
2 Pa 0.1974 0.1974 0.1974  3 S 2.73
3 Te 0.4303 0.4303 0.4303  6 Pa 3.14-3.19
4 S 0.5993 0.5993 0.5993  6 Pa 2.72-2.73

***

Pa2TeS | PBE | relaxed

Results
Distance to the lowest polymorph of the same formula   378 meV per atom

a b c (Å): 5.0894 5.0894 5.0894
angles (deg): 60.00 60.00 60.00
With the nearest neighbours (Å) after each atom.
Element x y z (fractional)
1 Pa 0.2500 0.2500 0.2500  4 S 3.12, 4 Te 3.12
2 Pa 0.7500 0.7500 0.7500  4 S 3.12, 4 Te 3.12
3 Te 0.0000 0.0000 0.0000  8 Pa 3.12
4 S 0.5000 0.5000 0.5000  8 Pa 3.12

***

PaTeS | PBE | relaxed

Results
Distance to the lowest polymorph of the same formula   151 meV per atom

a b c (Å): 4.6036 4.6036 4.1773
angles (deg): 90.00 90.00 120.00
With the nearest neighbours (Å) after each atom.
Element x y z (fractional)
1 Pa 0.0000 0.0000 0.0000  3 S 2.66
2 Te 0.3333 0.6667 0.5000  6 Pa 3.38, 6 S 3.38
3 S 0.6667 0.3333 0.0000  3 Pa 2.66

***

Pa2TeS | PBE | relaxed

Results
Distance to the lowest polymorph of the same formula   211 meV per atom

a b c (Å): 7.1379 7.1379 7.7745
angles (deg): 90.00 90.00 150.96
With the nearest neighbours (Å) after each atom.
Element x y z (fractional)
1 Pa 0.1391 0.8609 0.5216  3 S 2.77-2.83
2 Pa 0.1391 0.8609 0.9784  3 S 2.77-2.83
3 Pa 0.8609 0.1391 0.0216  3 S 2.77-2.83
4 Pa 0.8609 0.1391 0.4784  3 S 2.77-2.83
5 Te 0.4793 0.5207 0.7500  8 Pa 3.22-3.35, 1 S 3.49, 2 Te 3.58
6 Te 0.5207 0.4793 0.2500  8 Pa 3.22-3.35, 1 S 3.49, 2 Te 3.58
7 S 0.2683 0.7317 0.2500  6 Pa 2.77-2.83
8 S 0.7317 0.2683 0.7500  6 Pa 2.77-2.83

***

PaTl2Te2S6 | PBE | relaxed

a b c (Å): 8.0141 8.0141 8.0546
angles (deg): 119.12 119.12 52.24
With the nearest neighbours (Å) after each atom.
Element x y z (fractional)
1 Pa 0.0000 0.0000 0.0000  6 S 2.50-2.77
2 Tl 0.2340 0.2340 0.7356  5 S 3.17-3.31
3 Tl 0.7660 0.7660 0.2644  5 S 3.17-3.31
4 Te 0.4623 0.4623 0.6774  2 S 2.40
5 Te 0.5377 0.5377 0.3226  2 S 2.40
6 S 0.1606 0.6564 0.1357  1 Te 2.40
7 S 0.1902 0.1902 0.3056  1 Pa 2.50
8 S 0.3436 0.8394 0.8643  1 Te 2.40
9 S 0.6564 0.1606 0.1357  1 Te 2.40
10 S 0.8098 0.8098 0.6944  1 Pa 2.50
11 S 0.8394 0.3436 0.8643  1 Te 2.40

***

ZrPaTeS2 | PBE | relaxed

a b c (Å): 7.5701 3.8346 9.0136
angles (deg): 90.00 107.58 90.00
With the nearest neighbours (Å) after each atom.
Element x y z (fractional)
1 Zr 0.1275 0.2500 0.1426  4 S 2.57-2.69
2 Zr 0.8725 0.7500 0.8574  4 S 2.57-2.69
3 Pa 0.2163 0.7500 0.6770  5 S 2.75-2.79
4 Pa 0.7837 0.2500 0.3230  5 S 2.75-2.79
5 Te 0.4426 0.7500 0.1921  2 Zr 2.99, 2 Pa 3.15
6 Te 0.5574 0.2500 0.8079  2 Zr 2.99, 2 Pa 3.15
7 S 0.0957 0.2500 0.8481  3 Zr 2.57-2.59, 2 Pa 2.78
8 S 0.1684 0.2500 0.4494  1 Zr 2.69, 3 Pa 2.75-2.79
9 S 0.8316 0.7500 0.5506  1 Zr 2.69, 3 Pa 2.75-2.79
10 S 0.9043 0.7500 0.1519  3 Zr 2.57-2.59, 2 Pa 2.78

***

ThPaS2 | PBE | relaxed

Results
Distance to the lowest polymorph of the same formula   0 meV per atom

a b c (Å): 3.9865 3.9865 6.8127
angles (deg): 107.36 107.36 60.59
With the nearest neighbours (Å) after each atom.
Element x y z (fractional)
1 Th 0.0000 0.0000 0.0000  6 S 2.85
2 Pa 0.5000 0.5000 0.5000  6 S 2.77
3 S 0.2465 0.2465 0.7396  3 Pa 2.77, 3 Th 2.85
4 S 0.7535 0.7535 0.2604  3 Pa 2.77, 3 Th 2.85

***

The E_form (uncorrected) results, record by record, are as follows: -1.14 -1.17 -0.94 -0.96 -1.07 -1.09 -0.76 -1.12 -0.93 -0.50 -1.33 -1.71 eV per atom.